Ag2IrCl2 | PBE | optimized geometry

Cell lengths 3.557, 3.557, 16.488 Å; angles 90.00, 90.00, 90.00 degrees
Atoms (fractional coordinates):
Ag (0.000, 0.000, 0.084)
Ag (0.000, 0.000, 0.916)
Ag (0.500, 0.500, 0.416)
Ag (0.500, 0.500, 0.584)
Ir (0.000, 0.000, 0.500)
Ir (0.500, 0.500, 0.000)
Cl (0.000, 0.500, 0.250)
Cl (0.000, 0.500, 0.750)
Cl (0.500, 0.000, 0.250)
Cl (0.500, 0.000, 0.750)

Energy, eV per atom: -2.80
Total magnetic moment, μB/atom: 0.208
Formation energy from raw total energies, eV per atom: 0.855